# 1
CsRbTeF6 (PBE, optimized geometry); spin magnetization = 0.0 μB/f.u.; uncorrected energy = -4.3012 eV per atom; space group = P3, No. 143
1.0
-1.063 -5.630 3.416
3.587 -5.456 -1.357
3.196 1.316 3.163
F Te Rb Cs
6 1 1 1
direct
0.234 0.164 0.669
0.985 0.461 0.240
0.164 0.602 0.669
0.461 0.554 0.240
0.601 0.234 0.669
0.554 0.985 0.240
0.333 0.333 0.396
0.667 0.667 0.739
0.000 0.000 0.137

# 2
LaAs2Os (PBE, optimized geometry); spin magnetization = 0.0 μB/f.u.; distance to the lowest polymorph of the same formula = 0.210 eV per atom; formation energy from the elements = -0.453 eV/atom; space group = Immm, No. 71
1.0
-4.262 -2.706 0.327
2.385 -4.145 -1.651
0.596 2.848 4.139
Os As La
1 2 1
direct
0.250 0.750 0.500
0.054 0.054 0.000
0.446 0.446 0.000
0.750 0.250 0.500

# 3
AlTcI3 (PBE, optimized geometry); spin magnetization = 3.1 μB/f.u.; distance to the lowest polymorph of the same formula = 0.000 eV per atom; space group = Pm-3m, No. 221
1.0
-5.309 1.758 0.252
-1.586 -5.050 1.823
0.800 1.657 5.287
Tc I Al
1 3 1
direct
0.000 0.000 0.000
0.500 0.000 0.000
0.000 0.000 0.500
0.000 0.500 0.000
0.500 0.500 0.500

# 4
CaPb2F8 (PBE, optimized geometry); spin magnetization = 0.0 μB/f.u.; uncorrected energy = -4.6889 eV per atom; space group = P-3, No. 147
1.0
-3.175 -0.500 3.196
-0.016 -7.123 -1.129
4.465 2.868 4.883
F Pb Ca
8 2 1
direct
0.751 0.319 0.161
0.249 0.158 0.319
0.247 0.667 0.333
0.753 0.333 0.667
0.751 0.842 0.681
0.751 0.839 0.158
0.249 0.161 0.842
0.249 0.681 0.839
0.746 0.667 0.333
0.254 0.333 0.667
0.000 0.000 0.000

# 5
Dy4CuSe3 (PBE, optimized geometry); spin magnetization = 0.0 μB/f.u.; uncorrected energy = -5.4964 eV per atom; space group = Cmmm, No. 65
1.0
-0.393 0.919 3.848
-6.767 1.905 -1.146
0.149 -6.923 1.669
Se Cu Dy
3 1 4
direct
0.500 0.500 0.500
0.000 0.000 0.500
0.000 0.500 0.000
0.500 0.000 0.000
0.000 0.763 0.763
0.500 0.245 0.755
0.500 0.755 0.245
0.000 0.237 0.237

# 6
TcSbP2 (PBE, optimized geometry); spin magnetization = 0.0 μB/f.u.; uncorrected energy = -6.1428 eV per atom; space group = R3m, No. 160
1.0
7.374 -0.011 -0.006
6.639 3.207 -0.006
6.639 1.515 2.827
P Sb Tc
2 1 1
direct
0.265 0.265 0.265
0.995 0.995 0.995
0.499 0.499 0.499
0.741 0.741 0.741

# 7
Sm7Ag2Sb2 (PBE, optimized geometry); spin magnetization = 0.0 μB/f.u.; uncorrected energy = -4.4578 eV per atom; space group = Cmmm, No. 65
1.0
-3.975 -2.591 5.399
5.439 0.802 4.389
-1.321 7.056 0.348
Sm Sb Ag
7 2 2
direct
0.500 0.249 0.500
0.500 0.266 0.000
0.000 0.000 0.000
0.000 0.734 0.500
0.500 0.734 0.000
0.000 0.266 0.500
0.500 0.751 0.500
0.807 0.500 0.807
0.193 0.500 0.193
0.277 0.000 0.723
0.723 0.000 0.277

# 8
K3Pa3CoTe8 (PBE, optimized geometry); spin magnetization = 5.0 μB/f.u.; uncorrected energy = -5.0186 eV per atom; space group = R-3m, No. 166
1.0
-0.042 -8.000 -3.214
3.906 1.607 7.514
-9.921 -0.039 0.228
Te Pa K Co
8 3 3 1
direct
0.248 0.027 0.305
0.261 0.522 0.283
0.222 0.443 0.695
0.739 0.478 0.717
0.752 0.973 0.695
0.778 0.027 0.305
0.222 0.973 0.695
0.778 0.557 0.305
0.500 0.500 0.500
0.500 0.000 0.500
0.000 0.500 0.500
0.500 0.500 0.000
0.000 0.500 0.000
0.000 0.000 0.000
0.000 0.000 0.500

Copy entry 7 word for word.
Sm7Ag2Sb2 (PBE, optimized geometry); spin magnetization = 0.0 μB/f.u.; uncorrected energy = -4.4578 eV per atom; space group = Cmmm, No. 65
1.0
-3.975 -2.591 5.399
5.439 0.802 4.389
-1.321 7.056 0.348
Sm Sb Ag
7 2 2
direct
0.500 0.249 0.500
0.500 0.266 0.000
0.000 0.000 0.000
0.000 0.734 0.500
0.500 0.734 0.000
0.000 0.266 0.500
0.500 0.751 0.500
0.807 0.500 0.807
0.193 0.500 0.193
0.277 0.000 0.723
0.723 0.000 0.277

> The highest spin magnetization belongs to which entry?

K3Pa3CoTe8

> The highest spin magnetization belongs to which entry?

K3Pa3CoTe8